DFT (PBE-GGA) results for a relaxed YBr2Cl crystal.

magnetic moment: 0.000 μB/f.u.
formation energy without anion corrections: -1.3937 eV per atom

Cell lengths 7.2471, 7.2471, 7.2471 Å; angles 90.00, 90.00, 90.00 degrees
Closest atoms and distances in Å follow each position.
Space group Fm-3m (No. 225)
Symmetry-distinct sites (fractional):
Y: 0.0000 0.0000 0.0000 (multiplicity 4)  8 Br 3.14
Br: 0.2500 0.2500 0.2500 (multiplicity 8)  4 Cl 3.14, 4 Y 3.14
Cl: 0.0000 0.0000 0.5000 (multiplicity 4)  8 Br 3.14



DFT (PBE-GGA) results for a relaxed YBr2Cl crystal.

magnetic moment: 0.000 μB/f.u.
formation energy without anion corrections: -1.7121 eV per atom

Cell lengths 4.5839, 4.5839, 21.7561 Å; angles 90.00, 90.00, 120.00 degrees
Closest atoms and distances in Å follow each position.
Space group R3m (No. 160, hexagonal axes)
Symmetry-distinct sites (fractional):
Y: 0.0000 0.0000 0.0000 (multiplicity 3)  3 Cl 2.65
Br: 0.0000 0.0000 0.2483 (multiplicity 3)  3 Cl 3.23, 3 Y 3.23
Br: 0.0000 0.0000 0.4182 (multiplicity 3)  3 Y 3.23, 3 Cl 3.23
Cl: 0.0000 0.0000 0.6665 (multiplicity 3)  3 Y 2.65



DFT (PBE-GGA) results for a relaxed YBrCl2 crystal.

magnetic moment: 0.000 μB/f.u.
formation energy without anion corrections: -1.4718 eV per atom

Cell lengths 7.0939, 7.0939, 7.0939 Å; angles 90.00, 90.00, 90.00 degrees
Closest atoms and distances in Å follow each position.
Space group Fm-3m (No. 225)
Symmetry-distinct sites (fractional):
Y: 0.0000 0.0000 0.0000 (multiplicity 4)  8 Cl 3.07
Br: 0.0000 0.0000 0.5000 (multiplicity 4)  8 Cl 3.07
Cl: 0.2500 0.2500 0.2500 (multiplicity 8)  4 Y 3.07, 4 Br 3.07